(1)
# KBaRu2 | the Alexandria database | GGA-PBEsol | optimized geometry
# electronic total energy = -4.4227 eV/atom
# energy of formation from the pure elements = 5.9 eV per formula unit
data_KBaRu2
_chemical_formula_sum 'K3 Ba3 Ru6'
_symmetry_space_group_name_H-M 'R -3 m'
_symmetry_Int_Tables_number 166
_symmetry_space_group_name_Hall '-R 3 2"'
_cell_length_a 3.0170
_cell_length_b 3.0170
_cell_length_c 32.9050
_cell_angle_alpha 90.00
_cell_angle_beta 90.00
_cell_angle_gamma 120.00
loop_
_atom_site_label
_atom_site_fract_x
_atom_site_fract_y
_atom_site_fract_z
K1 0.0000 0.0000 0.0000
Ba1 0.0000 0.0000 0.5000
Ru1 0.0000 0.0000 0.2493

---

(2)
# KBa2Ru | the Alexandria database | GGA-PBEsol | optimized geometry
# electronic total energy = -3.3179 eV/atom
# ΔE to the lowest computed polymorph = 171 meV/atom
# energy of formation from the pure elements = 2.3 eV per formula unit
data_KBa2Ru
_chemical_formula_sum 'K2 Ba4 Ru2'
_symmetry_space_group_name_H-M 'A m m 2'
_symmetry_Int_Tables_number 38
_cell_length_a 4.629
_cell_length_b 5.360
_cell_length_c 15.079
_cell_angle_alpha 90.00
_cell_angle_beta 90.00
_cell_angle_gamma 90.00
loop_
_symmetry_equiv_pos_as_xyz
'x,y,z'
'-x,-y,z'
'-x,y,z'
'x,-y,z'
'x,y+1/2,z+1/2'
'-x,-y+1/2,z+1/2'
'-x,y+1/2,z+1/2'
'x,-y+1/2,z+1/2'
loop_
_atom_site_label
_atom_site_fract_x
_atom_site_fract_y
_atom_site_fract_z
K1 0.000 0.000 0.000
Ba1 0.000 0.000 0.720
Ba2 0.500 0.000 0.372
Ru1 0.500 0.000 0.819

---

(3)
# KBa2Ru | the Alexandria database | GGA-PBEsol | optimized geometry
# electronic total energy = -3.4885 eV/atom
# ΔE to the lowest computed polymorph = 0 meV/atom
# energy of formation from the pure elements = 1.6 eV per formula unit
data_KBa2Ru
_chemical_formula_sum 'K2 Ba4 Ru2'
_symmetry_space_group_name_H-M 'C m m m'
_symmetry_Int_Tables_number 65
_symmetry_space_group_name_Hall '-C 2 2'
_cell_length_a 5.145
_cell_length_b 5.452
_cell_length_c 11.278
_cell_angle_alpha 90.00
_cell_angle_beta 90.00
_cell_angle_gamma 90.00
loop_
_atom_site_label
_atom_site_fract_x
_atom_site_fract_y
_atom_site_fract_z
K1 0.000 0.000 0.000
Ba1 0.000 0.500 0.340
Ru1 0.000 0.000 0.500

---

(4)
# K2BaRu | the Alexandria database | GGA-PBEsol | optimized geometry
# electronic total energy = -2.6631 eV/atom
# ΔE to the lowest computed polymorph = 240 meV/atom
# energy of formation from the pure elements = 3.9 eV per formula unit
data_K2BaRu
_chemical_formula_sum 'K2 Ba1 Ru1'
_symmetry_space_group_name_H-M 'P 4/m m m'
_symmetry_Int_Tables_number 123
_symmetry_space_group_name_Hall '-P 4 2'
_cell_length_a 4.726
_cell_length_b 4.726
_cell_length_c 6.133
_cell_angle_alpha 90.00
_cell_angle_beta 90.00
_cell_angle_gamma 90.00
loop_
_atom_site_label
_atom_site_fract_x
_atom_site_fract_y
_atom_site_fract_z
K1 0.000 0.500 0.000
Ba1 0.000 0.000 0.500
Ru1 0.500 0.500 0.500